[1]
# SiC2

SiC2 after structural relaxation (PBE, the Alexandria database).

The magnetization comes out at 0.000 μB per formula unit. The value obtained for the total energy is -7.63 eV/atom. The density of states at the Fermi level comes out at 0.8 states/eV/cell. The calculation puts the uncorrected formation energy at 1.00 eV/f.u. Its offset from the most stable computed form is 0.00 eV/f.u.

a = 2.4721 Å, b = 2.4721 Å, c = 8.8110 Å
α = 83.25°, β = 84.96°, γ = 60.00°
Fractional positions:
Si 0.3253 0.7517 0.7739
C 0.5221 0.6479 0.2743
C 0.1888 0.3146 0.2743

[2]
# Si3C5

Si3C5 after structural relaxation (PBE, the Alexandria database).

The magnetization comes out at 0.000 μB per formula unit. The value obtained for the total energy is -6.66 eV/atom. The density of states at the Fermi level comes out at 3.7 states/eV/cell. The calculation puts the uncorrected formation energy at 9.13 eV/f.u. Its offset from the most stable computed form is 3.38 eV/f.u.

a = 2.8044 Å, b = 2.8044 Å, c = 9.2334 Å
α = 90.00°, β = 90.00°, γ = 90.00°
Fractional positions:
Si 0.0000 0.0000 0.5000
Si 0.5000 0.5000 0.2072
Si 0.5000 0.5000 0.7928
C 0.0000 0.0000 0.0000
C 0.0000 0.0000 0.1503
C 0.0000 0.0000 0.8497
C 0.5000 0.5000 0.4140
C 0.5000 0.5000 0.5860

[3]
# Si2C

Si2C after structural relaxation (PBE, the Alexandria database).

The magnetization comes out at 0.000 μB per formula unit. The value obtained for the total energy is -6.09 eV/atom. The density of states at the Fermi level comes out at 0.8 states/eV/cell. The calculation puts the uncorrected formation energy at 1.79 eV/f.u. Its offset from the most stable computed form is 0.75 eV/f.u.

a = 4.9976 Å, b = 4.9976 Å, c = 4.7645 Å
α = 90.00°, β = 90.00°, γ = 145.96°
Fractional positions:
Si 0.1884 0.8116 0.7500
Si 0.4680 0.5320 0.7500
Si 0.5320 0.4680 0.2500
Si 0.8116 0.1884 0.2500
C 0.8228 0.1772 0.7500
C 0.1772 0.8228 0.2500

[4]
# SiC2

SiC2 after structural relaxation (PBE, the Alexandria database).

The magnetization comes out at 0.000 μB per formula unit. The value obtained for the total energy is -6.37 eV/atom. The density of states at the Fermi level comes out at 0.4 states/eV/cell. The calculation puts the uncorrected formation energy at 4.77 eV/f.u. Its offset from the most stable computed form is 3.77 eV/f.u.

a = 5.5793 Å, b = 5.5793 Å, c = 5.5793 Å
α = 31.98°, β = 31.98°, γ = 31.98°
Fractional positions:
Si 0.0000 0.0000 0.0000
C 0.7152 0.7152 0.7152
C 0.6182 0.6182 0.6182

[5]
# Si3C5

Si3C5 after structural relaxation (PBE, the Alexandria database).

The magnetization comes out at 0.000 μB per formula unit. The value obtained for the total energy is -7.00 eV/atom. The calculation puts the uncorrected formation energy at 6.40 eV/f.u. Its offset from the most stable computed form is 0.64 eV/f.u.

a = 6.1926 Å, b = 6.4785 Å, c = 5.5836 Å
α = 90.00°, β = 90.00°, γ = 88.78°
Fractional positions:
Si 0.3021 0.8294 0.2500
Si 0.6979 0.1706 0.7500
Si 0.5406 0.1242 0.2500
Si 0.5976 0.5274 0.2500
Si 0.4024 0.4726 0.7500
Si 0.4594 0.8758 0.7500
C 0.4124 0.6860 0.9933
C 0.5876 0.3140 0.4932
C 0.5876 0.3140 0.0068
C 0.4124 0.6860 0.5067
C 0.9971 0.8495 0.2500
C 0.0029 0.1505 0.7500
C 0.7885 0.9368 0.2500
C 0.8184 0.7222 0.2500
C 0.1816 0.2778 0.7500
C 0.2115 0.0632 0.7500

[6]
# Si2C

Si2C after structural relaxation (PBE, the Alexandria database).

The magnetization comes out at 0.000 μB per formula unit. The value obtained for the total energy is -5.54 eV/atom. The density of states at the Fermi level comes out at 2.7 states/eV/cell. The calculation puts the uncorrected formation energy at 3.45 eV/f.u. Its offset from the most stable computed form is 2.40 eV/f.u.

a = 3.1409 Å, b = 3.1409 Å, c = 7.6666 Å
α = 90.00°, β = 90.00°, γ = 90.00°
Fractional positions:
Si 0.0000 0.0000 0.0000
Si 0.5000 0.5000 0.0000
Si 0.5000 0.0000 0.3728
Si 0.0000 0.5000 0.6272
C 0.5000 0.0000 0.6236
C 0.0000 0.5000 0.3764

[7]
# SiC2

SiC2 after structural relaxation (PBE, the Alexandria database).

The magnetization comes out at 0.000 μB per formula unit. The value obtained for the total energy is -6.77 eV/atom. The density of states at the Fermi level comes out at 0.4 states/eV/cell. The calculation puts the uncorrected formation energy at 3.56 eV/f.u. Its offset from the most stable computed form is 2.57 eV/f.u.

a = 5.1315 Å, b = 4.3740 Å, c = 3.2090 Å
α = 83.67°, β = 57.91°, γ = 38.43°
Fractional positions:
Si 0.5000 0.5000 0.5000
C 0.7916 0.7916 0.2084
C 0.2084 0.2084 0.7916

[8]
# SiC

SiC after structural relaxation (PBE, the Alexandria database).

The magnetization comes out at 0.000 μB per formula unit. The value obtained for the total energy is -7.01 eV/atom. The calculation puts the uncorrected formation energy at 0.62 eV/f.u. Its offset from the most stable computed form is 1.04 eV/f.u.

a = 8.7501 Å, b = 3.0316 Å, c = 5.4690 Å
α = 90.00°, β = 90.00°, γ = 90.00°
Fractional positions:
Si 0.7925 0.1441 0.3306
Si 0.7075 0.8559 0.8306
Si 0.2075 0.1441 0.3306
Si 0.2925 0.8559 0.8306
Si 0.0000 0.4731 0.5923
Si 0.5000 0.5269 0.0923
C 0.7935 0.3548 0.6845
C 0.7065 0.6452 0.1845
C 0.2065 0.3548 0.6845
C 0.2935 0.6452 0.1845
C 0.0000 0.9909 0.3796
C 0.5000 0.0091 0.8796

[9]
# Si3C4

Si3C4 after structural relaxation (PBE, the Alexandria database).

The magnetization comes out at 0.000 μB per formula unit. The value obtained for the total energy is -6.50 eV/atom. The density of states at the Fermi level comes out at 1.8 states/eV/cell. The calculation puts the uncorrected formation energy at 7.66 eV/f.u. Its offset from the most stable computed form is 2.53 eV/f.u.

a = 8.1233 Å, b = 8.1233 Å, c = 8.1233 Å
α = 160.22°, β = 160.22°, γ = 28.11°
Fractional positions:
Si 0.0000 0.0000 0.0000
Si 0.6790 0.6790 0.0000
Si 0.3210 0.3210 0.0000
C 0.8115 0.8115 0.0000
C 0.1885 0.1885 0.0000
C 0.5488 0.5488 0.0000
C 0.4512 0.4512 0.0000

[10]
# Si2C

Si2C after structural relaxation (PBE, the Alexandria database).

The magnetization comes out at 0.000 μB per formula unit. The value obtained for the total energy is -5.37 eV/atom. The density of states at the Fermi level comes out at 5.6 states/eV/cell. The calculation puts the uncorrected formation energy at 3.95 eV/f.u. Its offset from the most stable computed form is 2.91 eV/f.u.

a = 5.6403 Å, b = 5.6403 Å, c = 6.7062 Å
α = 90.00°, β = 90.00°, γ = 120.00°
Fractional positions:
Si 0.0000 0.0000 0.0000
Si 0.0000 0.0000 0.5000
Si 0.8140 0.6281 0.2500
Si 0.1860 0.3719 0.7500
Si 0.3719 0.1860 0.2500
Si 0.8140 0.1860 0.2500
Si 0.1860 0.8140 0.7500
Si 0.6281 0.8140 0.7500
C 0.3333 0.6667 0.9423
C 0.6667 0.3333 0.4423
C 0.6667 0.3333 0.0577
C 0.3333 0.6667 0.5577

[11]
# SiC2

SiC2 after structural relaxation (PBE, the Alexandria database).

The magnetization comes out at 0.000 μB per formula unit. The value obtained for the total energy is -7.28 eV/atom. The density of states at the Fermi level comes out at 2.3 states/eV/cell. The calculation puts the uncorrected formation energy at 2.03 eV/f.u. Its offset from the most stable computed form is 1.03 eV/f.u.

a = 4.0789 Å, b = 4.0789 Å, c = 7.2972 Å
α = 61.19°, β = 61.19°, γ = 41.07°
Fractional positions:
Si 0.8137 0.8137 0.3129
Si 0.1863 0.1863 0.6871
C 0.5500 0.5500 0.8955
C 0.0994 0.0994 0.4832
C 0.9006 0.9006 0.5168
C 0.4500 0.4500 0.1045

[12]
# SiC2

SiC2 after structural relaxation (PBE, the Alexandria database).

The magnetization comes out at 0.000 μB per formula unit. The value obtained for the total energy is -7.31 eV/atom. The density of states at the Fermi level comes out at 1.3 states/eV/cell. The calculation puts the uncorrected formation energy at 1.95 eV/f.u. Its offset from the most stable computed form is 0.95 eV/f.u.

a = 4.3848 Å, b = 4.3848 Å, c = 4.9026 Å
α = 89.09°, β = 89.09°, γ = 36.91°
Fractional positions:
Si 0.9817 0.9817 0.6047
Si 0.2858 0.2858 0.1042
C 0.7950 0.7950 0.8230
C 0.4681 0.4681 0.3186
C 0.6559 0.6559 0.6503
C 0.6468 0.6468 0.3326

[13]
# SiC5

SiC5 after structural relaxation (PBE, the Alexandria database).

The magnetization comes out at 0.000 μB per formula unit. The value obtained for the total energy is -6.85 eV/atom. The density of states at the Fermi level comes out at 1.5 states/eV/cell. The calculation puts the uncorrected formation energy at 10.41 eV/f.u. Its offset from the most stable computed form is 4.98 eV/f.u.

a = 4.5852 Å, b = 4.5852 Å, c = 3.2925 Å
α = 90.00°, β = 90.00°, γ = 99.34°
Fractional positions:
Si 0.0080 0.0080 0.0000
C 0.6260 0.6260 0.5000
C 0.7051 0.7051 0.0000
C 0.3844 0.3844 0.5000
C 0.4661 0.4661 0.0000
C 0.1439 0.1439 0.5000